(1)
# RbHoPd2F8

An optimized crystal structure of RbHoPd2F8 (PBE-GGA, Alexandria via LeMat-Bulk).

Its space group is P-3 (147). For the total energy, the calculation gives -4.7222 eV per atom.

POSCAR file:
```
RbHoPd2F8
1.0
5.978 0.000 0.000
-2.989 5.177 0.000
0.000 0.000 8.017
Rb Ho Pd F
1 1 2 8
Direct
0.000 0.000 0.000
0.000 0.000 0.500
0.333 0.667 0.753
0.667 0.333 0.247
0.023 0.295 0.669
0.271 0.977 0.669
0.295 0.271 0.331
0.333 0.667 0.003
0.667 0.333 0.997
0.705 0.729 0.669
0.729 0.023 0.331
0.977 0.705 0.331
```

***

(2)
# CeMgHg3

An optimized crystal structure of CeMgHg3 (PBE-GGA, Alexandria via LeMat-Bulk).

Its space group is C2/m (12). Its formation energy is -0.972 eV per formula unit.

POSCAR file:
```
CeMgHg3
1.0
13.968 -1.700 0.000
13.968 1.700 0.000
-0.074 0.000 5.326
Ce Mg Hg
2 2 6
Direct
0.070 0.070 0.257
0.930 0.930 0.743
0.365 0.365 0.239
0.635 0.635 0.761
0.223 0.223 0.759
0.328 0.328 0.737
0.468 0.468 0.247
0.532 0.532 0.753
0.672 0.672 0.263
0.777 0.777 0.241
```

***

(3)
# CaY2Ni

An optimized crystal structure of CaY2Ni (PBE-GGA, Alexandria via LeMat-Bulk).

Its space group is F-43m (216). The distance to the lowest polymorph of the same formula comes out at 452 meV per atom. Its formation energy is 1.258 eV per formula unit.

POSCAR file:
```
CaY2Ni
1.0
7.467 0.000 0.000
0.000 7.467 0.000
0.000 0.000 7.467
Ca Y Ni
4 8 4
Direct
0.000 0.000 0.000
0.000 0.500 0.500
0.500 0.000 0.500
0.500 0.500 0.000
0.000 0.000 0.500
0.000 0.500 0.000
0.250 0.250 0.750
0.250 0.750 0.250
0.500 0.000 0.000
0.500 0.500 0.500
0.750 0.250 0.250
0.750 0.750 0.750
0.250 0.250 0.250
0.250 0.750 0.750
0.750 0.250 0.750
0.750 0.750 0.250
```